First-principles (PBE with a Hubbard U) data for a relaxed Ni2NO2 crystal, as listed in Alexandria via LeMat-Bulk.

Lattice parameters (Å, degrees): 5.5085 5.5085 5.5085 139.40 139.40 58.77
Last column: nearest neighbours and their distance in Å.
Positions (direct):
Ni1 0.1949 0.1949 0.0000  1 N 1.87, 4 O 1.98
Ni2 0.8051 0.8051 0.0000  1 N 1.87, 4 O 1.98
N1 0.0000 0.0000 0.0000  2 Ni 1.87
O1 0.2500 0.7500 0.5000  4 Ni 1.98
O2 0.7500 0.2500 0.5000  4 Ni 1.98

Computed properties:
The value obtained for the total energy is -4.508 eV/atom.